(1)
VASP calculation (GGA+U) on NaSc2WO6 after structural relaxation.

Lattice parameters (Å, degrees): 5.3893 5.4433 5.7937 62.12 63.20 60.52
Space group P1 (No. 1)
Asymmetric unit:
Na1 0.0000 0.0000 0.0000 (multiplicity 1)
Sc1 0.2183 0.2057 0.3480 (multiplicity 1)
Sc2 0.7208 0.7286 0.8282 (multiplicity 1)
W1 0.5182 0.5229 0.4339 (multiplicity 1)
O1 0.1253 0.7885 0.6246 (multiplicity 1)
O2 0.3546 0.5654 0.1640 (multiplicity 1)
O3 0.4414 0.1285 0.6277 (multiplicity 1)
O4 0.5652 0.9157 0.1515 (multiplicity 1)
O5 0.7735 0.4493 0.6272 (multiplicity 1)
O6 0.9112 0.3574 0.1562 (multiplicity 1)

Summary:
The crystal system is triclinic.

(2)
VASP calculation (GGA+U) on Na3Sc3WO8 after structural relaxation.

Lattice parameters (Å, degrees): 11.0890 6.3488 6.6487 90.00 123.54 90.00
Space group C2/m (No. 12)
Asymmetric unit:
Na1 0.0000 0.0000 0.0000 (multiplicity 2)
Na2 0.2500 0.2500 0.0000 (multiplicity 4)
Sc1 0.0000 0.5000 0.5000 (multiplicity 2)
Sc2 0.2500 0.2500 0.5000 (multiplicity 4)
W1 0.0000 0.0000 0.5000 (multiplicity 2)
O1 0.0162 0.2413 0.3056 (multiplicity 8)
O2 0.2311 0.0000 0.6951 (multiplicity 4)
O3 0.2317 0.5000 0.6992 (multiplicity 4)

Summary:
The crystal system is monoclinic.

(3)
VASP calculation (GGA+U) on NaScW2O8 after structural relaxation.

Lattice parameters (Å, degrees): 10.1681 5.8683 5.1392 90.00 91.38 90.00
Space group P2/c (No. 13)
Asymmetric unit:
Na1 0.0000 0.1824 0.2500 (multiplicity 2)
Sc1 0.5000 0.1737 0.2500 (multiplicity 2)
W1 0.2591 0.3268 0.7472 (multiplicity 4)
O1 0.1426 0.1283 0.6244 (multiplicity 4)
O2 0.1681 0.4059 0.0583 (multiplicity 4)
O3 0.3695 0.3830 0.4374 (multiplicity 4)
O4 0.3882 0.1277 0.9010 (multiplicity 4)

Summary:
The crystal system is monoclinic.

| no. | electronic total energy (eV/atom) | total magnetic moment (μB per formula unit) |
| --- | --- | --- |
| 1 | -7.830 | 1.000 |
| 2 | -7.318 | 2.000 |
| 3 | -7.500 | 0.000 |